CrCoBi2 | PBE-GGA | optimized geometry

a b c (Å): 4.7388 4.7388 4.7388
angles (deg): 60.00 60.00 60.00
Last column: nearest neighbours and their distance in Å.
Fractional coordinates of all 4 atoms:
Bi (0.7500, 0.7500, 0.7500)  4 Cr 2.90, 4 Co 2.90
Bi (0.2500, 0.2500, 0.2500)  4 Co 2.90, 4 Cr 2.90
Cr (0.0000, 0.0000, 0.0000)  8 Bi 2.90
Co (0.5000, 0.5000, 0.5000)  8 Bi 2.90

## Properties
Fermi-level density of states = 5.8 states/eV per cell
polymorph energy (0 for the lowest one) = 11.7 kJ/mol of atoms
uncorrected energy = -5.341 eV/atom